a | The following is a PBE calculation of NbTePdI after structural relaxation, from Alexandria. Values from VASP.

The structure in Quantum ESPRESSO input format:
```
&SYSTEM
  ibrav = 0, nat = 4, ntyp = 4
/
ATOMIC_SPECIES
Nb 92.91 Nb.upf
Te 127.60 Te.upf
Pd 106.42 Pd.upf
I 126.90 I.upf
ATOMIC_POSITIONS crystal
Nb 0.000 0.000 0.000
Te 0.495 0.244 0.735
Pd 0.261 0.629 0.888
I 0.821 0.414 0.238
CELL_PARAMETERS angstrom
4.191 0.000 0.000
-2.095 3.630 0.000
-2.010 -1.227 7.839
```

## Properties
Total moment   0.00 μB per cell
Symmetry   P1, No. 1

***

b | The following is a PBE calculation of NbTePdI after structural relaxation, from Alexandria. Values from VASP.

The structure in Quantum ESPRESSO input format:
```
&SYSTEM
  ibrav = 0, nat = 4, ntyp = 4
/
ATOMIC_SPECIES
Nb 92.91 Nb.upf
Te 127.60 Te.upf
Pd 106.42 Pd.upf
I 126.90 I.upf
ATOMIC_POSITIONS crystal
Nb 0.000 0.000 0.000
Te 0.667 0.333 0.242
Pd 0.333 0.667 0.093
I 0.000 0.000 0.685
CELL_PARAMETERS angstrom
4.248 0.000 0.000
-2.124 3.679 0.000
0.000 0.000 8.337
```

## Properties
Total moment   0.00 μB per cell
Symmetry   P3m1, No. 156

***

c | The following is a PBE calculation of NbTePdI after structural relaxation, from Alexandria. Values from VASP.

The structure in Quantum ESPRESSO input format:
```
&SYSTEM
  ibrav = 0, nat = 4, ntyp = 4
/
ATOMIC_SPECIES
Nb 92.91 Nb.upf
Te 127.60 Te.upf
Pd 106.42 Pd.upf
I 126.90 I.upf
ATOMIC_POSITIONS crystal
Nb 0.000 0.000 0.000
Te 0.148 0.148 0.725
Pd 0.553 0.553 0.457
I 0.862 0.862 0.389
CELL_PARAMETERS angstrom
8.241 -2.105 0.000
8.241 2.105 0.000
-0.632 0.000 3.348
```

## Properties
Total moment   0.00 μB per cell
Symmetry   Cm, No. 8

***

d | The following is a PBE calculation of NbTePdI after structural relaxation, from Alexandria. Values from VASP.

The structure in Quantum ESPRESSO input format:
```
&SYSTEM
  ibrav = 0, nat = 4, ntyp = 4
/
ATOMIC_SPECIES
Nb 92.91 Nb.upf
Te 127.60 Te.upf
Pd 106.42 Pd.upf
I 126.90 I.upf
ATOMIC_POSITIONS crystal
Nb 0.000 0.000 0.000
Te 0.318 0.318 0.057
Pd 0.661 0.661 0.341
I 0.425 0.425 0.641
CELL_PARAMETERS angstrom
4.923 -1.821 0.000
4.923 1.821 0.000
-4.373 0.000 5.931
```

## Properties
Total moment   0.00 μB per cell
Symmetry   Cm, No. 8

***

Most stable structure: a

***

a | The following is a PBE calculation of NbTe2PdI after structural relaxation, from Alexandria. Values from VASP.

The structure in Quantum ESPRESSO input format:
```
&SYSTEM
  ibrav = 0, nat = 5, ntyp = 4
/
ATOMIC_SPECIES
Nb 92.91 Nb.upf
Te 127.60 Te.upf
Pd 106.42 Pd.upf
I 126.90 I.upf
ATOMIC_POSITIONS crystal
Nb 0.000 0.000 0.000
Te 0.000 0.500 0.500
Te 0.500 0.000 0.500
Pd 0.500 0.500 0.500
I 0.500 0.500 0.000
CELL_PARAMETERS angstrom
5.266 0.000 0.000
0.000 5.266 0.000
0.000 0.000 5.341
```

## Properties
Total moment   2.49 μB per cell
Symmetry   P4/mmm, No. 123

***

b | The following is a PBE calculation of NbTe2PdI after structural relaxation, from Alexandria. Values from VASP.

The structure in Quantum ESPRESSO input format:
```
&SYSTEM
  ibrav = 0, nat = 5, ntyp = 4
/
ATOMIC_SPECIES
Nb 92.91 Nb.upf
Te 127.60 Te.upf
Pd 106.42 Pd.upf
I 126.90 I.upf
ATOMIC_POSITIONS crystal
Nb 0.000 0.000 0.000
Te 0.000 0.500 0.000
Te 0.500 0.000 0.000
Pd 0.500 0.500 0.500
I 0.000 0.000 0.500
CELL_PARAMETERS angstrom
5.361 0.000 0.000
0.000 5.361 0.000
0.000 0.000 5.669
```

## Properties
Total moment   0.00 μB per cell
Symmetry   P4/mmm, No. 123

***

Most stable structure: b

***

a | The following is a PBE calculation of Nb2PtI after structural relaxation, from Alexandria. Values from VASP.

The structure in Quantum ESPRESSO input format:
```
&SYSTEM
  ibrav = 0, nat = 4, ntyp = 3
/
ATOMIC_SPECIES
Nb 92.91 Nb.upf
Pt 195.08 Pt.upf
I 126.90 I.upf
ATOMIC_POSITIONS crystal
Nb 0.250 0.250 0.250
Nb 0.750 0.750 0.750
Pt 0.000 0.000 0.000
I 0.500 0.500 0.500
CELL_PARAMETERS angstrom
0.000 3.337 3.337
3.337 0.000 3.337
3.337 3.337 0.000
```

## Properties
Total moment   0.00 μB per cell
Symmetry   Fm-3m, No. 225

***

b | The following is a PBE calculation of Nb2PtI after structural relaxation, from Alexandria. Values from VASP.

The structure in Quantum ESPRESSO input format:
```
&SYSTEM
  ibrav = 0, nat = 8, ntyp = 3
/
ATOMIC_SPECIES
Nb 92.91 Nb.upf
Pt 195.08 Pt.upf
I 126.90 I.upf
ATOMIC_POSITIONS crystal
Nb 0.083 0.625 0.958
Nb 0.375 0.333 0.458
Nb 0.667 0.125 0.042
Nb 0.875 0.917 0.542
Pt 0.000 0.000 0.000
Pt 0.750 0.250 0.500
I 0.250 0.750 0.500
I 0.500 0.500 0.000
CELL_PARAMETERS angstrom
-3.011 3.011 6.149
3.011 -3.011 6.149
3.011 3.011 -6.149
```

## Properties
Total moment   0.00 μB per cell
Symmetry   I-42d, No. 122

***

Most stable structure: a

***

a | The following is a PBE calculation of NbSb2PtI after structural relaxation, from Alexandria. Values from VASP.

The structure in Quantum ESPRESSO input format:
```
&SYSTEM
  ibrav = 0, nat = 5, ntyp = 4
/
ATOMIC_SPECIES
Nb 92.91 Nb.upf
Sb 121.76 Sb.upf
Pt 195.08 Pt.upf
I 126.90 I.upf
ATOMIC_POSITIONS crystal
Nb 0.000 0.000 0.000
Sb 0.000 0.500 0.500
Sb 0.500 0.000 0.500
Pt 0.500 0.500 0.500
I 0.500 0.500 0.000
CELL_PARAMETERS angstrom
5.191 0.000 0.000
0.000 5.191 0.000
0.000 0.000 5.451
```

## Properties
Total moment   2.36 μB per cell
Symmetry   P4/mmm, No. 123

***

b | The following is a PBE calculation of NbSb2PtI after structural relaxation, from Alexandria. Values from VASP.

The structure in Quantum ESPRESSO input format:
```
&SYSTEM
  ibrav = 0, nat = 5, ntyp = 4
/
ATOMIC_SPECIES
Nb 92.91 Nb.upf
Sb 121.76 Sb.upf
Pt 195.08 Pt.upf
I 126.90 I.upf
ATOMIC_POSITIONS crystal
Nb 0.000 0.000 0.000
Sb 0.000 0.500 0.000
Sb 0.500 0.000 0.000
Pt 0.500 0.500 0.500
I 0.000 0.000 0.500
CELL_PARAMETERS angstrom
5.386 0.000 0.000
0.000 5.386 0.000
0.000 0.000 5.212
```

## Properties
Total moment   0.00 μB per cell
Symmetry   P4/mmm, No. 123

***

Most stable structure: b

***

a | The following is a PBE calculation of Rb2NbI after structural relaxation, from Alexandria. Values from VASP.

The structure in Quantum ESPRESSO input format:
```
&SYSTEM
  ibrav = 0, nat = 4, ntyp = 3
/
ATOMIC_SPECIES
Rb 85.47 Rb.upf
Nb 92.91 Nb.upf
I 126.90 I.upf
ATOMIC_POSITIONS crystal
Rb 0.250 0.250 0.250
Rb 0.750 0.750 0.750
Nb 0.000 0.000 0.000
I 0.500 0.500 0.500
CELL_PARAMETERS angstrom
0.000 4.483 4.483
4.483 0.000 4.483
4.483 4.483 0.000
```

## Properties
Total moment   5.64 μB per cell
Symmetry   Fm-3m, No. 225

***

b | The following is a PBE calculation of Rb2NbI after structural relaxation, from Alexandria. Values from VASP.

The structure in Quantum ESPRESSO input format:
```
&SYSTEM
  ibrav = 0, nat = 8, ntyp = 3
/
ATOMIC_SPECIES
Rb 85.47 Rb.upf
Nb 92.91 Nb.upf
I 126.90 I.upf
ATOMIC_POSITIONS crystal
Rb 0.375 0.222 0.347
Rb 0.778 0.125 0.153
Rb 0.875 0.028 0.653
Rb 0.972 0.625 0.847
Nb 0.250 0.750 0.500
Nb 0.500 0.500 0.000
I 0.000 0.000 0.000
I 0.750 0.250 0.500
CELL_PARAMETERS angstrom
-6.661 6.661 2.810
6.661 -6.661 2.810
6.661 6.661 -2.810
```

## Properties
Total moment   8.13 μB per cell
Symmetry   I-42d, No. 122

***

Most stable structure: b

***

a | The following is a PBE calculation of Rb2NbI7 after structural relaxation, from Alexandria. Values from VASP.

The structure in Quantum ESPRESSO input format:
```
&SYSTEM
  ibrav = 0, nat = 10, ntyp = 3
/
ATOMIC_SPECIES
Rb 85.47 Rb.upf
Nb 92.91 Nb.upf
I 126.90 I.upf
ATOMIC_POSITIONS crystal
Rb 0.250 0.750 0.500
Rb 0.750 0.250 0.500
Nb 0.000 0.000 0.000
I 0.216 0.216 0.000
I 0.218 0.218 0.436
I 0.218 0.782 0.000
I 0.500 0.500 0.000
I 0.782 0.218 0.000
I 0.782 0.782 0.564
I 0.784 0.784 0.000
CELL_PARAMETERS angstrom
-4.549 4.549 6.485
4.549 -4.549 6.485
4.549 4.549 -6.485
```

## Properties
Total moment   0.00 μB per cell
Symmetry   I4/mmm, No. 139

***

b | The following is a PBE calculation of Rb2NbI7 after structural relaxation, from Alexandria. Values from VASP.

The structure in Quantum ESPRESSO input format:
```
&SYSTEM
  ibrav = 0, nat = 20, ntyp = 3
/
ATOMIC_SPECIES
Rb 85.47 Rb.upf
Nb 92.91 Nb.upf
I 126.90 I.upf
ATOMIC_POSITIONS crystal
Rb 0.035 0.718 0.962
Rb 0.282 0.965 0.538
Rb 0.718 0.035 0.462
Rb 0.965 0.282 0.038
Nb 0.281 0.719 0.750
Nb 0.719 0.281 0.250
I 0.088 0.112 0.268
I 0.112 0.088 0.768
I 0.195 0.631 0.497
I 0.218 0.449 0.697
I 0.369 0.805 0.003
I 0.393 0.607 0.250
I 0.449 0.218 0.197
I 0.551 0.782 0.803
I 0.607 0.393 0.750
I 0.631 0.195 0.997
I 0.782 0.551 0.303
I 0.805 0.369 0.503
I 0.888 0.912 0.232
I 0.912 0.888 0.732
CELL_PARAMETERS angstrom
9.609 -4.493 0.000
9.609 4.493 0.000
-8.604 0.000 10.721
```

## Properties
Total moment   0.68 μB per cell
Symmetry   C2/c, No. 15

***

Most stable structure: b

***

a | The following is a PBE calculation of RbNbI2 after structural relaxation, from Alexandria. Values from VASP.

The structure in Quantum ESPRESSO input format:
```
&SYSTEM
  ibrav = 0, nat = 4, ntyp = 3
/
ATOMIC_SPECIES
Rb 85.47 Rb.upf
Nb 92.91 Nb.upf
I 126.90 I.upf
ATOMIC_POSITIONS crystal
Rb 0.000 0.000 0.000
Nb 0.500 0.500 0.500
I 0.250 0.250 0.250
I 0.750 0.750 0.750
CELL_PARAMETERS angstrom
0.000 3.857 3.857
3.857 0.000 3.857
3.857 3.857 0.000
```

## Properties
Total moment   0.00 μB per cell
Symmetry   Fm-3m, No. 225

***

b | The following is a PBE calculation of RbNbI2 after structural relaxation, from Alexandria. Values from VASP.

The structure in Quantum ESPRESSO input format:
```
&SYSTEM
  ibrav = 0, nat = 8, ntyp = 3
/
ATOMIC_SPECIES
Rb 85.47 Rb.upf
Nb 92.91 Nb.upf
I 126.90 I.upf
ATOMIC_POSITIONS crystal
Rb 0.000 0.000 0.000
Rb 0.750 0.250 0.500
Nb 0.250 0.750 0.500
Nb 0.500 0.500 0.000
I 0.217 0.625 0.092
I 0.375 0.467 0.592
I 0.533 0.125 0.908
I 0.875 0.783 0.408
CELL_PARAMETERS angstrom
-3.495 3.495 8.214
3.495 -3.495 8.214
3.495 3.495 -8.214
```

## Properties
Total moment   8.00 μB per cell
Symmetry   I-42d, No. 122

***

Most stable structure: b

***

a | The following is a PBE calculation of RbNbTe2I after structural relaxation, from Alexandria. Values from VASP.

The structure in Quantum ESPRESSO input format:
```
&SYSTEM
  ibrav = 0, nat = 5, ntyp = 4
/
ATOMIC_SPECIES
Rb 85.47 Rb.upf
Nb 92.91 Nb.upf
Te 127.60 Te.upf
I 126.90 I.upf
ATOMIC_POSITIONS crystal
Rb 0.000 0.000 0.000
Nb 0.500 0.500 0.500
Te 0.000 0.500 0.500
Te 0.500 0.000 0.500
I 0.500 0.500 0.000
CELL_PARAMETERS angstrom
5.473 0.000 0.000
0.000 5.473 0.000
0.000 0.000 6.124
```

## Properties
Total moment   1.00 μB per cell
Symmetry   P4/mmm, No. 123

***

b | The following is a PBE calculation of RbNbTe2I after structural relaxation, from Alexandria. Values from VASP.

The structure in Quantum ESPRESSO input format:
```
&SYSTEM
  ibrav = 0, nat = 5, ntyp = 4
/
ATOMIC_SPECIES
Rb 85.47 Rb.upf
Nb 92.91 Nb.upf
Te 127.60 Te.upf
I 126.90 I.upf
ATOMIC_POSITIONS crystal
Rb 0.000 0.000 0.000
Nb 0.500 0.500 0.500
Te 0.000 0.500 0.000
Te 0.500 0.000 0.000
I 0.000 0.000 0.500
CELL_PARAMETERS angstrom
6.315 0.000 0.000
0.000 6.315 0.000
0.000 0.000 6.303
```

## Properties
Total moment   1.04 μB per cell
Symmetry   P4/mmm, No. 123

***

Most stable structure: a